[1]
{
  "formula": "LiPr2Rh",
  "functional": "PBE",
  "state": "optimized geometry",
  "ef_ev_per_atom": -0.269,
  "sg": "P-1 (2)",
  "dft_energy_ev_per_cell": -19.90,
  "mass_density_g_cm3": 5.26,
  "lattice_angstrom": [[4.0495, 0.0000, 0.0000], [2.0224, 3.5258, 0.0000], [0.0072, 2.2818, 8.6639]],
  "species": ["Li", "Pr", "Pr", "Rh"],
  "fractional_positions": [[0.0000, 0.0000, 0.0000], [0.2262, 0.5444, 0.6862], [0.7738, 0.4556, 0.3138], [0.5000, 0.0000, 0.5000]]
}

[2]
{
  "formula": "Li4PrRh",
  "functional": "PBE",
  "state": "optimized geometry",
  "ef_ev_per_atom": -0.011,
  "sg": "F-43m (216)",
  "dft_energy_ev_per_cell": -19.85,
  "mass_density_g_cm3": 4.32,
  "lattice_angstrom": [[0.0000, 3.7382, 3.7382], [3.7382, 0.0000, 3.7382], [3.7382, 3.7382, 0.0000]],
  "species": ["Li", "Li", "Li", "Li", "Pr", "Rh"],
  "fractional_positions": [[0.1212, 0.1212, 0.1212], [0.1212, 0.1212, 0.6364], [0.1212, 0.6364, 0.1212], [0.6364, 0.1212, 0.1212], [0.5000, 0.5000, 0.5000], [0.7500, 0.7500, 0.7500]]
}

[3]
{
  "formula": "LiPrRh",
  "functional": "PBE",
  "state": "optimized geometry",
  "relative_energy_mev_per_atom": 175,
  "ef_ev_per_atom": -0.253,
  "sg": "I4mm (107)",
  "dft_energy_ev_per_cell": -29.61,
  "mass_density_g_cm3": 6.77,
  "lattice_angstrom": [[3.6047, 0.0000, 0.0000], [0.0000, 3.6047, 0.0000], [0.0000, 0.0000, 9.4647]],
  "species": ["Li", "Li", "Pr", "Pr", "Rh", "Rh"],
  "fractional_positions": [[0.0000, 0.0000, 0.0000], [0.5000, 0.5000, 0.5000], [0.0000, 0.0000, 0.2939], [0.5000, 0.5000, 0.7939], [0.0000, 0.0000, 0.6298], [0.5000, 0.5000, 0.1298]]
}